Material: YTl2Cu2Te4
Method: DFT, PBE
State: optimized geometry

Size of the total moment (μB/atom): 0.00
Final energy (eV per atom): -4.10

POSCAR file:
```
YTl2Cu2Te4
1.0
7.846 -2.100 0.000
7.846 2.100 0.000
-2.765 0.000 8.120
Y Tl Cu Te
1 2 2 4
Cartesian
0.000 0.000 0.000
0.526 0.000 4.482
12.401 0.000 3.639
4.912 0.000 0.062
8.015 0.000 8.058
2.690 0.000 1.534
6.782 0.000 1.962
6.145 0.000 6.159
10.237 0.000 6.586
```